# 1
VASP calculation (PBE) on a relaxed La12Ga5Sn crystal.

## Properties
energy of formation from the pure elements = -0.431 eV per atom
SG = Immm

a b c (Å): 9.0691 9.0691 9.0691
angles (deg): 112.26 111.50 104.75
Closest atoms and distances in Å follow each position.
Atoms (fractional coordinates):
La (0.0421, 0.2382, 0.8040)  3 Ga 3.11-3.48
La (0.1785, 0.2741, 0.4526)  4 Ga 3.20-3.32
La (0.1785, 0.7259, 0.9043)  4 Ga 3.20-3.32
La (0.3242, 0.0316, 0.7074)  3 Ga 3.09-3.21
La (0.3242, 0.6168, 0.2926)  3 Ga 3.09-3.21
La (0.4342, 0.2382, 0.1960)  3 Ga 3.11-3.48
La (0.5658, 0.7618, 0.8040)  3 Ga 3.11-3.48
La (0.6758, 0.3832, 0.7074)  3 Ga 3.09-3.21
La (0.6758, 0.9684, 0.2926)  3 Ga 3.09-3.21
La (0.8215, 0.2741, 0.0957)  4 Ga 3.20-3.32
La (0.8215, 0.7259, 0.5474)  4 Ga 3.20-3.32
La (0.9579, 0.7618, 0.1960)  3 Ga 3.11-3.48
Ga (0.0000, 0.0000, 0.0000)  8 La 3.31-3.32, 2 Ga 3.66
Ga (0.1190, 0.6190, 0.5000)  1 Ga 2.64
Ga (0.3582, 0.0000, 0.3582)  1 Ga 2.89, 6 La 3.11-3.21
Ga (0.6418, 0.0000, 0.6418)  1 Ga 2.89, 6 La 3.11-3.21
Ga (0.8810, 0.3810, 0.5000)  1 Ga 2.64
Sn (0.5000, 0.5000, 0.0000)  8 La 3.52-3.54

***

# 2
VASP calculation (PBE) on a relaxed La2GaSn2 crystal.

## Properties
energy of formation from the pure elements = -0.722 eV per atom
E above lowest polymorph = 0.000 eV/atom
SG = C2/m

a b c (Å): 6.4117 6.4117 11.8538
angles (deg): 114.40 114.40 41.98
Closest atoms and distances in Å follow each position.
Atoms (fractional coordinates):
La (0.0934, 0.0934, 0.4065)  2 Ga 3.08, 3 Sn 3.32-3.35
La (0.3005, 0.3005, 0.8481)  1 Ga 3.13, 5 Sn 3.28-3.35
La (0.6995, 0.6995, 0.1519)  1 Ga 3.13, 5 Sn 3.28-3.35
La (0.9066, 0.9066, 0.5935)  2 Ga 3.08, 3 Sn 3.32-3.35
Ga (0.4733, 0.4733, 0.2176)  3 Sn 2.76-2.77, 2 La 3.08
Ga (0.5267, 0.5267, 0.7824)  3 Sn 2.76-2.77, 2 La 3.08
Sn (0.0688, 0.0688, 0.9253)  2 Ga 2.76, 1 Sn 2.90
Sn (0.3521, 0.3521, 0.3695)  1 Ga 2.77
Sn (0.6479, 0.6479, 0.6305)  1 Ga 2.77
Sn (0.9312, 0.9312, 0.0747)  2 Ga 2.76, 1 Sn 2.90

***

# 3
VASP calculation (PBE) on a relaxed La2Ga4Sn crystal.

## Properties
energy of formation from the pure elements = -0.045 eV per atom
SG = I4/mmm

a b c (Å): 8.6013 8.6013 8.6013
angles (deg): 145.31 145.31 49.87
Closest atoms and distances in Å follow each position.
Atoms (fractional coordinates):
La (0.1326, 0.1326, 0.0000)  5 Ga 3.02-3.29
La (0.8674, 0.8674, 0.0000)  5 Ga 3.02-3.29
Ga (0.0000, 0.5000, 0.5000)  2 Sn 2.56
Ga (0.3262, 0.3262, 0.0000)  1 Sn 2.71, 1 La 3.02
Ga (0.5000, 0.0000, 0.5000)  2 Sn 2.56
Ga (0.6738, 0.6738, 0.0000)  1 Sn 2.71, 1 La 3.02
Sn (0.5000, 0.5000, 0.0000)  6 Ga 2.56-2.71

***

Which formula does entry 3 have? La2Ga4Sn

***

Which of these has the lowest energy of formation from the pure elements? La2GaSn2